Entry 1:
{
  "formula": "LaTbHf",
  "functional": "PBE-GGA",
  "state": "optimized geometry",
  "lattice": [[3.786, 0.000, 0.000], [0.000, 3.786, 0.000], [0.000, 0.000, 12.871]],
  "species": ["Tb", "La", "Hf", "Tb", "Hf", "La"],
  "frac_coords": [[0.000, 0.500, 0.199], [0.000, 0.500, 0.599], [0.000, 0.500, 0.949], [0.500, 0.000, 0.801], [0.500, 0.000, 0.051], [0.500, 0.000, 0.401]],
  "e_above_lowest_polymorph_kj_per_mol_atoms": 0.0,
  "total_magnetization_mub_per_atom": 0.000,
  "mass_density_g_cm3": 8.6,
  "e_form_ev_per_atom": 0.112
}

---

Entry 2:
{
  "formula": "Na12PdPb6",
  "functional": "PBE-GGA",
  "state": "optimized geometry",
  "lattice": [[-4.540, -1.937, 6.592], [1.428, -8.035, -1.108], [6.610, 0.277, 4.904]],
  "species": ["Na", "Na", "Pb", "Na", "Na", "Na", "Na", "Na", "Na", "Pb", "Pd", "Na", "Pb", "Na", "Pb", "Pb", "Na", "Pb", "Na"],
  "frac_coords": [[0.425, 0.522, 0.812], [0.478, 0.188, 0.575], [0.744, 0.254, 0.884], [0.188, 0.575, 0.478], [0.575, 0.478, 0.188], [0.138, 0.038, 0.371], [0.962, 0.629, 0.862], [0.522, 0.812, 0.425], [0.812, 0.425, 0.522], [0.254, 0.884, 0.744], [0.000, 0.000, 0.000], [0.371, 0.138, 0.038], [0.884, 0.744, 0.254], [0.038, 0.371, 0.138], [0.116, 0.256, 0.746], [0.256, 0.746, 0.116], [0.629, 0.862, 0.962], [0.746, 0.116, 0.256], [0.862, 0.962, 0.629]],
  "total_magnetization_mub_per_atom": 0.000,
  "mass_density_g_cm3": 4.8,
  "e_form_ev_per_atom": -0.142
}

---

Entry 3:
{
  "formula": "Cd2InPb2",
  "functional": "PBE-GGA",
  "state": "optimized geometry",
  "lattice": [[-4.068, 1.792, -1.509], [-0.480, -3.597, -2.978], [-5.671, -4.497, 2.646]],
  "species": ["Cd", "In", "Pb", "Cd", "Pb"],
  "frac_coords": [[0.598, 0.598, 0.803], [0.000, 0.000, 0.000], [0.250, 0.750, 0.500], [0.402, 0.402, 0.197], [0.750, 0.250, 0.500]],
  "e_above_lowest_polymorph_kj_per_mol_atoms": 9.1,
  "total_magnetization_mub_per_atom": 0.000,
  "mass_density_g_cm3": 8.2,
  "e_form_ev_per_atom": 0.132
}

---

Entry 4:
{
  "formula": "KSr2ThSe4",
  "functional": "PBE-GGA",
  "state": "optimized geometry",
  "lattice": [[4.345, 0.000, 0.000], [0.000, 7.585, -0.177], [0.000, 2.646, 7.299]],
  "species": ["Se", "Se", "Th", "Se", "K", "Se", "Sr", "Sr"],
  "frac_coords": [[0.000, 0.746, 0.727], [0.000, 0.254, 0.273], [0.000, 0.500, 0.500], [0.500, 0.258, 0.736], [0.500, 0.500, 0.000], [0.500, 0.742, 0.264], [0.000, 0.000, 0.000], [0.500, 0.000, 0.500]],
  "total_magnetization_mub_per_atom": 0.000,
  "mass_density_g_cm3": 5.2,
  "formation_energy_uncorrected_mev_per_atom": -1747
}

---

Entry 5:
{
  "formula": "Pr5Y2Tl",
  "functional": "PBE-GGA",
  "state": "optimized geometry",
  "lattice": [[-0.888, 3.369, -0.578], [3.114, -1.080, -11.079], [-7.232, -3.022, 4.292]],
  "species": ["Pr", "Y", "Pr", "Pr", "Tl", "Pr", "Pr", "Y"],
  "frac_coords": [[0.369, 0.136, 0.738], [0.273, 0.773, 0.545], [0.369, 0.603, 0.738], [0.631, 0.397, 0.262], [0.000, 0.000, 0.000], [0.000, 0.500, 0.000], [0.631, 0.864, 0.262], [0.727, 0.227, 0.455]],
  "total_magnetization_mub_per_atom": 0.000,
  "mass_density_g_cm3": 6.7,
  "e_form_ev_per_atom": -0.007
}

---

Entry 6:
{
  "formula": "MnInFe2S",
  "functional": "PBE-GGA",
  "state": "optimized geometry",
  "lattice": [[-2.068, -2.386, 3.259], [2.380, -3.678, -1.183], [2.891, 1.036, 2.593]],
  "species": ["In", "S", "Fe", "Mn", "Fe"],
  "frac_coords": [[0.500, 0.500, 0.500], [0.000, 0.000, 0.500], [0.000, 0.500, 0.000], [0.000, 0.000, 0.000], [0.500, 0.000, 0.000]],
  "total_magnetization_mub_per_atom": 1.214,
  "mass_density_g_cm3": 6.3,
  "formation_energy_uncorrected_mev_per_atom": 671
}

---

Entry 7:
{
  "formula": "Rb2DyZrSe4",
  "functional": "PBE-GGA",
  "state": "optimized geometry",
  "lattice": [[4.075, 0.000, 0.000], [0.000, 7.120, 0.144], [0.000, -2.495, 7.988]],
  "species": ["Dy", "Rb", "Se", "Se", "Rb", "Se", "Se", "Zr"],
  "frac_coords": [[0.000, 0.000, 0.000], [0.500, 0.000, 0.500], [0.500, 0.757, 0.803], [0.000, 0.721, 0.194], [0.000, 0.500, 0.500], [0.000, 0.279, 0.806], [0.500, 0.243, 0.197], [0.500, 0.500, 0.000]],
  "total_magnetization_mub_per_atom": 0.000,
  "mass_density_g_cm3": 5.3,
  "formation_energy_uncorrected_mev_per_atom": -1497
}

---

Entry 8:
{
  "formula": "LaTc3",
  "functional": "PBE-GGA",
  "state": "optimized geometry",
  "lattice": [[5.474, 0.000, 0.000], [0.000, 9.445, 0.000], [0.000, 0.000, 5.636]],
  "species": ["Tc", "Tc", "Tc", "Tc", "Tc", "Tc", "Tc", "Tc", "Tc", "La", "Tc", "La", "Tc", "La", "La", "Tc"],
  "frac_coords": [[0.448, 0.250, 0.653], [0.304, 0.974, 0.378], [0.196, 0.474, 0.878], [0.052, 0.750, 0.153], [0.304, 0.526, 0.378], [0.696, 0.474, 0.622], [0.804, 0.974, 0.122], [0.948, 0.250, 0.847], [0.196, 0.026, 0.878], [0.509, 0.250, 0.134], [0.804, 0.526, 0.122], [0.009, 0.250, 0.366], [0.696, 0.026, 0.622], [0.491, 0.750, 0.866], [0.991, 0.750, 0.634], [0.552, 0.750, 0.347]],
  "total_magnetization_mub_per_atom": 0.000,
  "mass_density_g_cm3": 9.9,
  "e_form_ev_per_atom": 0.327
}

---

Entry 9:
{
  "formula": "BaRh3",
  "functional": "PBE-GGA",
  "state": "optimized geometry",
  "lattice": [[5.006, 0.000, 0.000], [0.000, 5.006, 0.000], [0.000, 0.000, 3.061]],
  "species": ["Rh", "Rh", "Rh", "Ba"],
  "frac_coords": [[0.500, 0.500, 0.000], [0.000, 0.500, 0.500], [0.500, 0.000, 0.500], [0.000, 0.000, 0.000]],
  "total_magnetization_mub_per_atom": 0.000,
  "mass_density_g_cm3": 9.7,
  "e_form_ev_per_atom": 0.565
}

---

Entry 10:
{
  "formula": "Ce4Tl",
  "functional": "PBE-GGA",
  "state": "optimized geometry",
  "lattice": [[3.113, 0.002, -0.776], [-0.431, 4.850, -1.717], [0.444, 0.276, 8.426]],
  "species": ["Ce", "Ce", "Ce", "Ce", "Tl"],
  "frac_coords": [[0.196, 0.196, 0.891], [0.805, 0.804, 0.109], [0.896, 0.396, 0.291], [0.104, 0.604, 0.709], [0.500, 0.000, 0.500]],
  "e_above_lowest_polymorph_kj_per_mol_atoms": 0.0,
  "total_magnetization_mub_per_atom": 0.198,
  "mass_density_g_cm3": 9.7,
  "e_form_ev_per_atom": -0.069
}

---

Entry 11:
{
  "formula": "RbZn3B",
  "functional": "PBE-GGA",
  "state": "optimized geometry",
  "lattice": [[6.690, 0.000, 0.000], [0.000, 6.690, 0.000], [0.000, 0.000, 6.690]],
  "species": ["Zn", "Zn", "B", "Rb", "Zn"],
  "frac_coords": [[0.000, 0.500, 0.000], [0.500, 0.000, 0.000], [0.500, 0.500, 0.500], [0.000, 0.000, 0.000], [0.000, 0.000, 0.500]],
  "e_above_lowest_polymorph_kj_per_mol_atoms": 119.1,
  "total_magnetization_mub_per_atom": 0.367,
  "mass_density_g_cm3": 1.6,
  "e_form_ev_per_atom": 1.799
}

---

Entry 12:
{
  "formula": "PaGeOs2",
  "functional": "PBE-GGA",
  "state": "optimized geometry",
  "lattice": [[-3.951, -1.180, -0.968], [2.026, -4.180, -3.174], [-1.053, 0.154, 4.111]],
  "species": ["Ge", "Os", "Os", "Pa"],
  "frac_coords": [[0.500, 0.000, 0.000], [0.000, 0.790, 0.580], [0.000, 0.210, 0.420], [0.500, 0.500, 0.000]],
  "e_above_lowest_polymorph_kj_per_mol_atoms": 31.8,
  "total_magnetization_mub_per_atom": 0.000,
  "mass_density_g_cm3": 15.0,
  "e_form_ev_per_atom": 0.167
}